[1]
# Sr2HoSn3Au4

Sr2HoSn3Au4 after structural relaxation (GGA-PBE, the Alexandria database).

Results
SG: P-4m2 (115)
E_form: -0.640 eV per atom
Magnetic moment: 0.00 μB/f.u.

a = 4.6987 Å, b = 4.6987 Å, c = 11.9045 Å
α = 90.00°, β = 90.00°, γ = 90.00°
Element x y z (fractional)
Au  0.5000  0.5000  0.0000
Au  0.5000  0.0000  0.6445
Au  0.0000  0.5000  0.3555
Au  0.0000  0.0000  0.0000
Sn  0.0000  0.5000  0.1276
Sn  0.5000  0.0000  0.8724
Sn  0.0000  0.0000  0.5000
Ho  0.5000  0.5000  0.5000
Sr  0.5000  0.0000  0.2256
Sr  0.0000  0.5000  0.7744

***

[2]
# HoSnTe3Au

HoSnTe3Au after structural relaxation (GGA-PBE, the Alexandria database).

Results
SG: P2_1/m (11)
ΔE_f (raw): -3.87 eV/f.u.
Magnetic moment: 0.00 μB/f.u.

a = 4.2824 Å, b = 8.6142 Å, c = 10.1501 Å
α = 104.82°, β = 90.00°, γ = 90.00°
Element x y z (fractional)
Ho  0.7500  0.3132  0.8208
Ho  0.2500  0.6868  0.1792
Au  0.7500  0.9108  0.4059
Au  0.2500  0.0892  0.5941
Sn  0.2500  0.2134  0.2675
Sn  0.7500  0.7866  0.7325
Te  0.2500  0.7256  0.4861
Te  0.7500  0.2744  0.5139
Te  0.7500  0.4210  0.1411
Te  0.2500  0.5790  0.8589
Te  0.2500  0.0735  0.8626
Te  0.7500  0.9265  0.1374

***

[3]
# HoSn2Te4Au

HoSn2Te4Au after structural relaxation (GGA-PBE, the Alexandria database).

Results
SG: P2/m (10)
ΔE_f (raw): -3.83 eV/f.u.
Magnetic moment: 0.00 μB/f.u.

a = 4.3486 Å, b = 7.8141 Å, c = 7.7969 Å
α = 68.48°, β = 90.00°, γ = 90.00°
Element x y z (fractional)
Sn  0.5000  0.0000  0.5000
Sn  0.0000  0.0000  0.0000
Au  0.5000  0.5000  0.0000
Te  0.0000  0.2777  0.2325
Te  0.0000  0.7223  0.7675
Te  0.5000  0.7483  0.2633
Te  0.5000  0.2517  0.7366
Ho  0.0000  0.5000  0.5000

***

[4]
# HoThSnAu

HoThSnAu after structural relaxation (GGA-PBE, the Alexandria database).

Results
SG: F-43m (216)
E_form: -0.565 eV per atom
Magnetic moment: 0.03 μB/f.u.

a = 5.2982 Å, b = 5.2982 Å, c = 5.2982 Å
α = 60.00°, β = 60.00°, γ = 60.00°
Element x y z (fractional)
Th  0.0000  0.0000  0.0000
Au  0.7500  0.7500  0.7500
Ho  0.5000  0.5000  0.5000
Sn  0.2500  0.2500  0.2500

***

[5]
# YHoSnAu

YHoSnAu after structural relaxation (GGA-PBE, the Alexandria database).

Results
SG: F-43m (216)
E_form: -0.725 eV per atom
Magnetic moment: 0.54 μB/f.u.

a = 5.2113 Å, b = 5.2113 Å, c = 5.2113 Å
α = 60.00°, β = 60.00°, γ = 60.00°
Each line ends with the local moment (μB).
Element x y z (fractional)
Au  0.0000  0.0000  0.0000  0.03
Sn  0.5000  0.5000  0.5000  -0.02
Y  0.7500  0.7500  0.7500  0.15
Ho  0.2500  0.2500  0.2500  0.19

***

[6]
# HoZrSnAu

HoZrSnAu after structural relaxation (GGA-PBE, the Alexandria database).

Results
SG: F-43m (216)
E_form: -0.516 eV per atom
Magnetic moment: 0.00 μB/f.u.

a = 5.0602 Å, b = 5.0602 Å, c = 5.0602 Å
α = 60.00°, β = 60.00°, γ = 60.00°
Element x y z (fractional)
Sn  0.2500  0.2500  0.2500
Ho  0.0000  0.0000  0.0000
Au  0.7500  0.7500  0.7500
Zr  0.5000  0.5000  0.5000

***

[7]
# SrHoAu2

SrHoAu2 after structural relaxation (GGA-PBE, the Alexandria database).

Results
SG: R3m (160)
E_form: -0.693 eV per atom
Magnetic moment: 0.00 μB/f.u.

a = 4.1960 Å, b = 4.1960 Å, c = 7.9830 Å
α = 74.76°, β = 74.76°, γ = 60.00°
Element x y z (fractional)
Sr  0.4983  0.4983  0.5050
Au  0.2606  0.2606  0.2182
Au  0.0727  0.0727  0.7818
Ho  0.6683  0.6683  0.9950

***

[8]
# SrHoAu

SrHoAu after structural relaxation (GGA-PBE, the Alexandria database).

Results
SG: P4/nmm (129)
E_form: -0.556 eV per atom
Magnetic moment: 0.00 μB/f.u.

a = 4.9908 Å, b = 4.9908 Å, c = 7.7404 Å
α = 90.00°, β = 90.00°, γ = 90.00°
Element x y z (fractional)
Sr  0.0000  0.5000  0.8720
Sr  0.5000  0.0000  0.1280
Au  0.0000  0.5000  0.2997
Au  0.5000  0.0000  0.7003
Ho  0.0000  0.0000  0.5000
Ho  0.5000  0.5000  0.5000

***

Calculated final energy, -3.95, -4.19, -4.03, -5.38, -5.31, -5.62, -3.90, -3.74 eV per atom (same order as the records).